Record 1
# Mg2AsPb, relaxed, DFT PBE-GGA
# ΔE_f   -0.169 eV/atom
# Symmetry   Imm2
# Energy relative to the lowest polymorph listed for this composition   21 kJ/mol of formula units
data_Mg2AsPb
_space_group_name_H-M_alt 'P 1'
_space_group_IT_number 1
_cell_length_a 6.686
_cell_length_b 6.686
_cell_length_c 6.686
_cell_angle_alpha 147.18
_cell_angle_beta 143.51
_cell_angle_gamma 49.89
loop_
_space_group_symop_operation_xyz
'x,y,z'
loop_
_atom_site_label
_atom_site_fract_x
_atom_site_fract_y
_atom_site_fract_z
Pb1 0.453 0.453 0.000
As1 0.228 0.728 0.500
Mg1 0.060 0.060 0.000
Mg2 0.758 0.258 0.500

---

Record 2
# Be2CdPt, relaxed, DFT PBE-GGA
# ΔE_f   -0.136 eV/atom
# Symmetry   Cm
data_Be2CdPt
_space_group_name_H-M_alt 'P 1'
_space_group_IT_number 1
_cell_length_a 4.605
_cell_length_b 4.605
_cell_length_c 4.332
_cell_angle_alpha 74.01
_cell_angle_beta 74.01
_cell_angle_gamma 37.03
loop_
_space_group_symop_operation_xyz
'x,y,z'
loop_
_atom_site_label
_atom_site_fract_x
_atom_site_fract_y
_atom_site_fract_z
Be1 0.004 0.004 0.034
Be2 0.727 0.727 0.769
Pt1 0.273 0.273 0.164
Cd1 0.496 0.496 0.533

---

Record 3
# PrTmC, relaxed, DFT PBE-GGA
# ΔE_f   -0.168 eV/atom
# Symmetry   P3m1
# Energy relative to the lowest polymorph listed for this composition   4 kJ/mol of formula units
data_PrTmC
_space_group_name_H-M_alt 'P 1'
_space_group_IT_number 1
_cell_length_a 6.474
_cell_length_b 3.606
_cell_length_c 3.606
_cell_angle_alpha 120.00
_cell_angle_beta 90.00
_cell_angle_gamma 90.00
loop_
_space_group_symop_operation_xyz
'x,y,z'
loop_
_atom_site_label
_atom_site_fract_x
_atom_site_fract_y
_atom_site_fract_z
Pr1 0.778 0.667 0.333
C1 0.017 0.000 0.000
Tm1 0.205 0.333 0.667

---

no.,calculated total energy (eV per atom)
1,-3.056
2,-3.738
3,-6.326